Run a
The following is a DFT calculation (PBE) of a geometry-optimized NbRu3Rh structure.

a = 5.2831 Å, b = 5.2831 Å, c = 12.3553 Å
α = 90.00°, β = 90.00°, γ = 120.00°
Space group R-3m (No. 166, hexagonal axes)
One atom of each set of equivalent atoms:
Nb: 0.0000 0.0000 0.0000 [3 per cell]
Ru: 0.0000 0.5000 0.0000 [9 per cell]
Rh: 0.0000 0.0000 0.5000 [3 per cell]

## Properties
D(E_F), states/eV/f.u.: 8.2
Crystal system: trigonal
Volume, Å³ per atom: 19.9

=====

Run b
The following is a DFT calculation (PBE) of a geometry-optimized NbRu3Rh structure.

a = 4.648 Å, b = 4.648 Å, c = 4.648 Å
α = 90.00°, β = 90.00°, γ = 90.00°
Space group Pm-3m (No. 221)
One atom of each set of equivalent atoms:
Nb: 0.000 0.000 0.000 [1 per cell]
Ru: 0.000 0.000 0.500 [3 per cell]
Rh: 0.500 0.500 0.500 [1 per cell]

## Properties
D(E_F), states/eV/f.u.: 6.5
Crystal system: cubic
Volume, Å³ per atom: 20.1

=====

The structure with the most favorable energy is run a; the runner-up is 649 meV/atom above it.